# Ta2CrIr GGA-PBEsol relaxed
# * DOS at the Fermi energy: 3.7 states/eV per cell
# * total magnetization: 0.0 μB/cell
# * raw total energy: -45.69 eV per cell
# * DFT formation energy: -0.5 eV per formula unit
data_Ta2CrIr
_chemical_formula_sum 'Ta2 Cr1 Ir1'
_space_group_name_H-M_alt 'P 1 m 1'
_space_group_IT_number 6
_cell_length_a 2.765
_cell_length_b 4.415
_cell_length_c 5.074
_cell_angle_alpha 90.00
_cell_angle_beta 101.13
_cell_angle_gamma 90.00
loop_
_space_group_symop_operation_xyz
'x,y,z'
'x,-y,z'
loop_
_atom_site_label
_atom_site_type_symbol
_atom_site_fract_x
_atom_site_fract_y
_atom_site_fract_z
Ta1 Ta 0.000 0.000 0.000
Ta2 Ta 0.257 0.500 0.713
Cr1 Cr 0.762 0.500 0.202
Ir1 Ir 0.536 0.000 0.488

# LaTcHg2 GGA-PBEsol relaxed
# * DOS at the Fermi energy: 6.9 states/eV per cell
# * total magnetization: 0.0 μB/cell
# * raw total energy: -34.96 eV per cell
# * relative energy among the computed polymorphs: 0.0 kJ per mole of atoms
# * DFT formation energy: 0.3 eV per formula unit
data_LaTcHg2
_chemical_formula_sum 'La2 Tc2 Hg4'
_space_group_name_H-M_alt 'I m m m'
_space_group_IT_number 71
_space_group_name_Hall '-I 2 2'
_cell_length_a 3.614
_cell_length_b 4.683
_cell_length_c 10.113
_cell_angle_alpha 90.00
_cell_angle_beta 90.00
_cell_angle_gamma 90.00
loop_
_atom_site_label
_atom_site_type_symbol
_atom_site_fract_x
_atom_site_fract_y
_atom_site_fract_z
La1 La 0.000 0.000 0.000
Tc1 Tc 0.000 0.000 0.500
Hg1 Hg 0.000 0.500 0.221

# MnSi2Ag GGA-PBEsol relaxed
# * DOS at the Fermi energy: 4.3 states/eV per cell
# * total magnetization: 4.7 μB/cell
# * raw formation energy: 0.16 eV/atom
# * raw total energy: -47.86 eV per cell
# * relative energy among the computed polymorphs: 17.0 kJ per mole of atoms
data_MnSi2Ag
_chemical_formula_sum 'Mn2 Si4 Ag2'
_space_group_name_H-M_alt 'I -4 m 2'
_space_group_IT_number 119
_space_group_name_Hall 'I -4 -2'
_cell_length_a 3.653
_cell_length_b 3.653
_cell_length_c 8.163
_cell_angle_alpha 90.00
_cell_angle_beta 90.00
_cell_angle_gamma 90.00
loop_
_atom_site_label
_atom_site_type_symbol
_atom_site_fract_x
_atom_site_fract_y
_atom_site_fract_z
Mn1 Mn 0.000 0.000 0.000
Si1 Si 0.000 0.000 0.500
Si2 Si 0.000 0.500 0.750
Ag1 Ag 0.000 0.500 0.250

# CdFeAsSe2 GGA-PBEsol relaxed
# * DOS at the Fermi energy: 7.2 states/eV per cell
# * total magnetization: 3.7 μB/cell
# * raw formation energy: 1.23 eV/atom
# * raw total energy: -16.80 eV per cell
data_CdFeAsSe2
_chemical_formula_sum 'Cd1 Fe1 As1 Se2'
_space_group_name_H-M_alt 'P 4/m m m'
_space_group_IT_number 123
_space_group_name_Hall '-P 4 2'
_cell_length_a 5.100
_cell_length_b 5.100
_cell_length_c 4.977
_cell_angle_alpha 90.00
_cell_angle_beta 90.00
_cell_angle_gamma 90.00
loop_
_atom_site_label
_atom_site_type_symbol
_atom_site_fract_x
_atom_site_fract_y
_atom_site_fract_z
Cd1 Cd 0.000 0.000 0.000
Fe1 Fe 0.500 0.500 0.500
As1 As 0.000 0.000 0.500
Se1 Se 0.000 0.500 0.000

# Li4Mn3SnP4O16 GGA-PBEsol relaxed
# * DOS at the Fermi energy: 0.0 states/eV per cell
# * total magnetization: 15.0 μB/cell
# * raw formation energy: -2.05 eV/atom
# * raw total energy: -206.05 eV per cell
data_Li4Mn3SnP4O16
_chemical_formula_sum 'Li4 Mn3 Sn1 P4 O16'
_space_group_name_H-M_alt 'P 1 m 1'
_space_group_IT_number 6
_cell_length_a 4.762
_cell_length_b 6.072
_cell_length_c 10.911
_cell_angle_alpha 90.00
_cell_angle_beta 92.77
_cell_angle_gamma 90.00
loop_
_space_group_symop_operation_xyz
'x,y,z'
'x,-y,z'
loop_
_atom_site_label
_atom_site_type_symbol
_atom_site_fract_x
_atom_site_fract_y
_atom_site_fract_z
Li1 Li 0.000 0.241 0.000
Li2 Li 0.445 0.254 0.526
Mn1 Mn 0.452 0.000 0.790
Mn2 Mn 0.936 0.500 0.729
Mn3 Mn 0.940 0.000 0.314
Sn1 Sn 0.465 0.500 0.227
P1 P 0.019 0.500 0.440
P2 P 0.395 0.500 0.904
P3 P 0.587 0.000 0.090
P4 P 0.866 0.000 0.608
O1 O 0.128 0.292 0.372
O2 O 0.174 0.500 0.569
O3 O 0.188 0.000 0.611
O4 O 0.259 0.296 0.838
O5 O 0.267 0.000 0.088
O6 O 0.269 0.500 0.034
O7 O 0.699 0.500 0.448
O8 O 0.706 0.000 0.960
O9 O 0.716 0.500 0.907
O10 O 0.722 0.000 0.477
O11 O 0.726 0.200 0.162
O12 O 0.740 0.202 0.676

# SrGa3P GGA-PBEsol relaxed
# * DOS at the Fermi energy: 3.6 states/eV per cell
# * total magnetization: 0.0 μB/cell
# * raw total energy: -17.52 eV per cell
# * DFT formation energy: 0.1 eV per formula unit
data_SrGa3P
_chemical_formula_sum 'Sr1 Ga3 P1'
_space_group_name_H-M_alt 'P m -3 m'
_space_group_IT_number 221
_space_group_name_Hall '-P 4 2 3'
_cell_length_a 4.932
_cell_length_b 4.932
_cell_length_c 4.932
_cell_angle_alpha 90.00
_cell_angle_beta 90.00
_cell_angle_gamma 90.00
loop_
_atom_site_label
_atom_site_type_symbol
_atom_site_fract_x
_atom_site_fract_y
_atom_site_fract_z
Sr1 Sr 0.000 0.000 0.000
Ga1 Ga 0.000 0.500 0.500
P1 P 0.500 0.500 0.500

# CsGe3C GGA-PBEsol relaxed
# * DOS at the Fermi energy: 4.5 states/eV per cell
# * total magnetization: 0.5 μB/cell
# * raw total energy: -9.61 eV per cell
# * relative energy among the computed polymorphs: 196.0 kJ per mole of atoms
# * DFT formation energy: 15.8 eV per formula unit
data_CsGe3C
_chemical_formula_sum 'Cs1 Ge3 C1'
_space_group_name_H-M_alt 'P m -3 m'
_space_group_IT_number 221
_space_group_name_Hall '-P 4 2 3'
_cell_length_a 5.623
_cell_length_b 5.623
_cell_length_c 5.623
_cell_angle_alpha 90.00
_cell_angle_beta 90.00
_cell_angle_gamma 90.00
loop_
_atom_site_label
_atom_site_type_symbol
_atom_site_fract_x
_atom_site_fract_y
_atom_site_fract_z
Cs1 Cs 0.000 0.000 0.000
Ge1 Ge 0.000 0.000 0.500
C1 C 0.500 0.500 0.500

# Sc2TcF2 GGA-PBEsol relaxed
# * DOS at the Fermi energy: 6.8 states/eV per cell
# * total magnetization: 0.0 μB/cell
# * raw formation energy: -1.99 eV/atom
# * raw total energy: -76.59 eV per cell
data_Sc2TcF2
_chemical_formula_sum 'Sc4 Tc2 F4'
_space_group_name_H-M_alt 'I 4/m m m'
_space_group_IT_number 139
_space_group_name_Hall '-I 4 2'
_cell_length_a 3.293
_cell_length_b 3.293
_cell_length_c 12.462
_cell_angle_alpha 90.00
_cell_angle_beta 90.00
_cell_angle_gamma 90.00
loop_
_atom_site_label
_atom_site_type_symbol
_atom_site_fract_x
_atom_site_fract_y
_atom_site_fract_z
Sc1 Sc 0.000 0.000 0.131
Tc1 Tc 0.000 0.000 0.500
F1 F 0.000 0.500 0.250